Entry from Alexandria: a relaxed structure of UGe2Ru2Pt (PBE).

Cell: 4.720 4.720 5.337 Å, 90.00 90.00 90.00°
Positions (direct):
Pt  0.000  0.000  0.000
Ge  0.500  0.000  0.000
Ge  0.000  0.500  0.000
Ru  0.500  0.500  0.737
Ru  0.500  0.500  0.263
U  0.000  0.000  0.500

## Properties
The formation enthalpy at 0 K is 0.373 eV/atom. The spin magnetization comes out at 2.0 μB per formula unit.